# PrGe2Rh4

A relaxed PrGe2Rh4 crystal (PBE, Alexandria).

Unit cell a=17.049 b=4.188 c=6.618 alpha=90.00 beta=90.00 gamma=90.00
Atoms (fractional coordinates):
Pr1 0.138 0.250 0.004
Pr2 0.362 0.750 0.504
Pr3 0.638 0.250 0.496
Pr4 0.862 0.750 0.996
Ge1 0.038 0.750 0.267
Ge2 0.217 0.250 0.526
Ge3 0.283 0.750 0.026
Ge4 0.462 0.250 0.767
Ge5 0.538 0.750 0.233
Ge6 0.717 0.250 0.974
Ge7 0.783 0.750 0.474
Ge8 0.962 0.250 0.733
Rh1 0.030 0.750 0.858
Rh2 0.073 0.250 0.491
Rh3 0.185 0.750 0.316
Rh4 0.195 0.750 0.729
Rh5 0.305 0.250 0.229
Rh6 0.315 0.250 0.816
Rh7 0.427 0.750 0.991
Rh8 0.470 0.250 0.358
Rh9 0.530 0.750 0.642
Rh10 0.573 0.250 0.009
Rh11 0.685 0.750 0.184
Rh12 0.695 0.750 0.771
Rh13 0.805 0.250 0.271
Rh14 0.815 0.250 0.684
Rh15 0.927 0.750 0.509
Rh16 0.970 0.250 0.142

As for the space group: Pnma. The calculation puts the energy relative to the elements at -0.64 eV per atom.


# Pr3Ge4Rh2

A relaxed Pr3Ge4Rh2 crystal (PBE, Alexandria).

Unit cell a=6.077 b=6.077 c=8.464 alpha=107.99 beta=107.99 gamma=41.77
Atoms (fractional coordinates):
Pr1 0.000 0.000 0.000
Pr2 0.382 0.382 0.307
Pr3 0.618 0.618 0.693
Ge1 0.100 0.100 0.396
Ge2 0.287 0.287 0.924
Ge3 0.713 0.713 0.076
Ge4 0.900 0.900 0.604
Rh1 0.306 0.306 0.633
Rh2 0.694 0.694 0.367

As for the space group: C2/m. The calculation puts the energy relative to the elements at -0.86 eV per atom.


no.,N(E_F) (states/eV/atom),E_tot (eV per atom)
1,0.49,-6.84
2,0.51,-6.14